{
  "formula": "Gd3MgCd2Pt2Au",
  "functional": "PBE-GGA",
  "state": "relaxed",
  "energy_ha_per_atom": -0.1645,
  "spacegroup": "Amm2, No. 38",
  "vol_a3_per_atom": 22.4,
  "lattice_angstrom": [[-1.622, -1.285, -3.385], [-2.391, -6.371, 3.565], [-4.457, 6.252, -0.237]],
  "species": ["Mg", "Gd", "Gd", "Gd", "Cd", "Cd", "Au", "Pt", "Pt"],
  "fractional_positions": [[0.500, 0.744, 0.744], [0.000, 0.588, 0.005], [0.000, 0.404, 0.404], [0.000, 0.005, 0.588], [0.500, 0.258, 0.999], [0.500, 0.999, 0.258], [0.000, 0.984, 0.984], [0.500, 0.671, 0.347], [0.500, 0.347, 0.671]]
}

***

{
  "formula": "NdAs2",
  "functional": "PBE-GGA",
  "state": "relaxed",
  "energy_ha_per_atom": -0.2088,
  "spacegroup": "P2_1/c, No. 14",
  "vol_a3_per_atom": 24.1,
  "lattice_angstrom": [[-2.751, -1.019, -2.915], [2.895, -6.243, -0.550], [-4.236, -2.784, 9.306]],
  "species": ["As", "As", "As", "As", "As", "As", "As", "As", "Nd", "Nd", "Nd", "Nd"],
  "fractional_positions": [[0.961, 0.856, 0.171], [0.961, 0.644, 0.671], [0.229, 0.877, 0.550], [0.771, 0.377, 0.950], [0.229, 0.623, 0.050], [0.771, 0.123, 0.450], [0.039, 0.144, 0.829], [0.039, 0.356, 0.329], [0.588, 0.687, 0.360], [0.412, 0.187, 0.140], [0.412, 0.313, 0.640], [0.588, 0.813, 0.860]]
}

***

Number 2 is which compound?
NdAs2